DFT (GGA-PBE) results for ZnHg2BiS after structural relaxation.

E_tot (eV/atom): -1.670
Energy relative to the elements, uncorrected (meV/atom): 307.7

a b c (Å): 6.0795 5.2592 6.0795
angles (deg): 90.00 90.00 90.00
Atoms (fractional coordinates):
Hg 0.0000 0.0000 0.5000
Zn 0.5000 0.5000 0.5000
Hg 0.5000 0.0000 0.0000
S 0.0000 0.5000 0.0000
Bi 0.0000 0.0000 0.0000